The following is a DFT calculation (PBE-GGA) of a relaxed structure of ScAlTcAg.

Results
**SG**: F-43m, No. 216
**Energy of formation**: -0.199 eV/atom

```
4
Lattice="-1.3334 -2.8009 3.3134 -0.2332 -4.4684 -0.7622 2.9966 -2.7947 1.9523" Properties=species:S:1:pos:R:3 pbc="T T T"
Sc 0.7150 -5.0320 2.2518
Ag 0.3575 -2.5160 1.1259
Tc 1.0725 -7.5479 3.3776
Al 0.0000 0.0000 0.0000
```



The following is a DFT calculation (PBE-GGA) of a relaxed structure of Sc3AlAg3Te8.

Results
**SG**: R-3m, No. 166
**Final energy**: -65.80 eV for the cell shown

```
15
Lattice="8.3063 0.0000 0.0000 -4.1531 7.1940 -0.0288 0.0000 -4.7742 7.0610" Properties=species:S:1:pos:R:3 pbc="T T T"
Al 0.0000 -2.3871 3.5305
Te 6.3080 -1.2402 1.8676
Te 0.0000 2.4022 1.8440
Sc 2.0766 1.2099 3.5161
Te 4.1531 2.4923 1.8529
Ag 2.0766 3.5970 -0.0144
Te 4.1531 0.0176 5.1882
Te 1.9982 -1.2402 1.8676
Sc -2.0766 1.2099 3.5161
Te -2.1549 3.6600 5.1646
Ag 0.0000 0.0000 0.0000
Te 0.0000 -0.0725 5.1794
Sc 4.1531 -2.3871 3.5305
Ag -2.0766 3.5970 -0.0144
Te 2.1549 3.6600 5.1646
```



The following is a DFT calculation (PBE-GGA) of a relaxed structure of Sc4Al2TlAg.

Results
**SG**: R-3m, No. 166
**Energy of formation**: -0.326 eV/atom

```
8
Lattice="4.8955 0.0000 0.0000 2.4477 4.2396 0.0000 2.4477 1.4132 8.0223" Properties=species:S:1:pos:R:3 pbc="T T T"
Sc 7.3432 4.2396 3.0594
Sc 4.8955 2.8264 1.0696
Al 7.3432 4.2396 5.9716
Al 2.4477 1.4132 2.0507
Sc 2.4477 1.4132 4.9629
Tl 0.0000 0.0000 0.0000
Ag 4.8955 2.8264 4.0112
Sc 4.8955 2.8264 6.9527
```



The following is a DFT calculation (PBE-GGA) of a relaxed structure of YScAlAg.

Results
**SG**: F-43m, No. 216
**Energy of formation**: -0.348 eV/atom

```
4
Lattice="-0.4798 4.5141 2.1244 -0.3639 0.3987 4.9829 3.7906 1.9419 2.6421" Properties=species:S:1:pos:R:3 pbc="T T T"
Sc 0.7367 1.7137 2.4374
Y 2.2102 5.1410 7.3121
Al 1.4735 3.4273 4.8747
Ag 0.0000 0.0000 0.0000
```



The following is a DFT calculation (PBE-GGA) of a relaxed structure of YScAl2Ag5.

Results
**SG**: P4/mmm, No. 123
**Energy of formation**: -0.120 eV/atom

```
9
Lattice="-3.6327 2.6927 0.1455 -2.2349 -2.8697 -2.6904 -2.9582 -4.3760 7.1249" Properties=species:S:1:pos:R:3 pbc="T T T"
Ag -1.9226 -2.6259 0.5941
Ag -3.9694 -1.8386 5.2583
Al -5.4789 -3.8534 4.8573
Ag -3.2705 -4.6198 3.8403
Ag -4.4129 -2.2765 2.2900
Ag -2.6215 0.1552 2.0121
Al -3.3469 -0.6996 -0.2774
Sc 0.0000 0.0000 0.0000
Y -1.4791 -2.1880 3.5624
```



The following is a DFT calculation (PBE-GGA) of a relaxed structure of Sc4AlZnAg2.

Results
**SG**: R-3m, No. 166
**Energy of formation**: -0.336 eV/atom

```
8
Lattice="4.8256 0.0000 0.0000 2.4128 4.1791 0.0000 2.4128 1.3930 7.8726" Properties=species:S:1:pos:R:3 pbc="T T T"
Al 0.0000 0.0000 0.0000
Zn 4.8256 2.7860 3.9363
Ag 2.4128 1.3930 1.9078
Sc 2.4128 1.3930 4.8809
Sc 4.8256 2.7860 1.0298
Sc 4.8256 2.7860 6.8427
Ag 7.2383 4.1791 5.9647
Sc 7.2383 4.1791 2.9917
```



The following is a DFT calculation (PBE-GGA) of a relaxed structure of ZrScAlAg.

Results
**SG**: F-43m, No. 216
**Energy of formation**: -0.250 eV/atom

```
4
Lattice="4.8481 0.0000 0.0000 2.4241 4.1986 0.0000 2.4241 1.3995 3.9585" Properties=species:S:1:pos:R:3 pbc="T T T"
Al 7.2722 4.1986 2.9689
Ag 2.4241 1.3995 0.9896
Zr 0.0000 0.0000 0.0000
Sc 4.8481 2.7991 1.9792
```



The following is a DFT calculation (PBE-GGA) of a relaxed structure of AlAgSe2.

Results
**SG**: R-3m, No. 166
**Final energy**: -15.55 eV for the cell shown

```
4
Lattice="-4.1357 5.5432 1.4906 -5.1007 4.4875 -1.9744 -6.4798 2.6604 0.9941" Properties=species:S:1:pos:R:3 pbc="T T T"
Se -0.1954 0.1578 0.0063
Ag -3.9291 3.1728 0.1276
Al -11.7872 9.5183 0.3827
Se -7.6627 6.1877 0.2488
```



| no. | size of the total moment (μB/cell) | calculated density (g cm⁻³) |
| --- | --- | --- |
| 1 | 0.00 | 6.98 |
| 2 | 0.00 | 5.94 |
| 3 | 0.00 | 5.45 |
| 4 | 0.00 | 5.01 |
| 5 | 0.00 | 6.65 |
| 6 | 0.00 | 5.10 |
| 7 | 0.77 | 5.59 |
| 8 | 0.00 | 5.93 |